No. 1
Compound: CaAcGaPt
Source: Alexandria
Functional: PBE
Structure: relaxed

Values from the calculation:
- ΔH_f (0 K) (eV/atom) = -0.6637
- V (A^3/atom) = 26.1

Cell: 7.4700 7.4700 7.4700 Å, 90.00 90.00 90.00°
Space group F-43m (No. 216)
One atom of each set of equivalent atoms:
Ca 0.0000 0.0000 0.0000 [4 per cell]
Ac 0.0000 0.0000 0.5000 [4 per cell]
Ga 0.2500 0.2500 0.7500 [4 per cell]
Pt 0.2500 0.2500 0.2500 [4 per cell]

---

No. 2
Compound: CaAcGaRh
Source: Alexandria
Functional: PBE
Structure: relaxed

Values from the calculation:
- ΔH_f (0 K) (eV/atom) = -0.5888
- V (A^3/atom) = 26.5

Cell: 4.1089 4.3368 11.9089 Å, 90.00 90.00 90.00°
Space group Amm2 (No. 38)
One atom of each set of equivalent atoms:
Ca 0.0000 0.0000 0.0000 [2 per cell]
Ac 0.5000 0.0000 0.2800 [2 per cell]
Ga 0.5000 0.0000 0.5750 [2 per cell]
Rh 0.0000 0.0000 0.7136 [2 per cell]

---

No. 3
Compound: CaAcGaRh
Source: Alexandria
Functional: PBE
Structure: relaxed

Values from the calculation:
- ΔH_f (0 K) (eV/atom) = -0.4070
- V (A^3/atom) = 25.2

Cell: 7.3909 7.3909 7.3909 Å, 90.00 90.00 90.00°
Space group F-43m (No. 216)
One atom of each set of equivalent atoms:
Ca 0.0000 0.0000 0.0000 [4 per cell]
Ac 0.0000 0.0000 0.5000 [4 per cell]
Ga 0.2500 0.2500 0.2500 [4 per cell]
Rh 0.2500 0.2500 0.7500 [4 per cell]

---

No. 4
Compound: CaAcGaS4
Source: Alexandria
Functional: PBE
Structure: relaxed

Values from the calculation:
- VASP energy (eV/atom) = -5.1290
- V (A^3/atom) = 26.5

Cell: 8.0093 8.1680 11.3612 Å, 90.00 90.00 90.00°
Space group Imma (No. 74)
One atom of each set of equivalent atoms:
Ca 0.2500 0.2500 0.2500 [4 per cell]
Ac 0.0000 0.0000 0.0000 [4 per cell]
Ga 0.0000 0.2500 0.6281 [4 per cell]
S 0.0000 0.0068 0.7401 [8 per cell]
S 0.2342 0.2500 0.5009 [8 per cell]

---

No. 5
Compound: CaAcSmGa
Source: Alexandria
Functional: PBE
Structure: relaxed

Values from the calculation:
- ΔH_f (0 K) (eV/atom) = 0.0919
- V (A^3/atom) = 31.8

Cell: 7.9809 7.9809 7.9809 Å, 90.00 90.00 90.00°
Space group F-43m (No. 216)
One atom of each set of equivalent atoms:
Ca 0.0000 0.0000 0.0000 [4 per cell]
Ac 0.2500 0.2500 0.7500 [4 per cell]
Sm 0.0000 0.0000 0.5000 [4 per cell]
Ga 0.2500 0.2500 0.2500 [4 per cell]

---

No. 6
Compound: CaAcGaSn
Source: Alexandria
Functional: PBE
Structure: relaxed

Values from the calculation:
- ΔH_f (0 K) (eV/atom) = -0.6206
- V (A^3/atom) = 31.3

Cell: 4.3845 4.8087 11.8619 Å, 90.00 90.00 90.00°
Space group Amm2 (No. 38)
One atom of each set of equivalent atoms:
Ca 0.0000 0.0000 0.0000 [2 per cell]
Ac 0.5000 0.0000 0.2744 [2 per cell]
Ga 0.0000 0.0000 0.7121 [2 per cell]
Sn 0.5000 0.0000 0.5609 [2 per cell]

---

No. 7
Compound: CaAcGaSn
Source: Alexandria
Functional: PBE
Structure: relaxed

Values from the calculation:
- ΔH_f (0 K) (eV/atom) = -0.5192
- V (A^3/atom) = 30.1

Cell: 7.8356 7.8356 7.8356 Å, 90.00 90.00 90.00°
Space group F-43m (No. 216)
One atom of each set of equivalent atoms:
Ca 0.0000 0.0000 0.0000 [4 per cell]
Ac 0.0000 0.0000 0.5000 [4 per cell]
Ga 0.2500 0.2500 0.7500 [4 per cell]
Sn 0.2500 0.2500 0.2500 [4 per cell]

---

No. 8
Compound: SrCaAcGa
Source: Alexandria
Functional: PBE
Structure: relaxed

Values from the calculation:
- ΔH_f (0 K) (eV/atom) = -0.0557
- V (A^3/atom) = 35.4

Cell: 8.2766 8.2766 8.2766 Å, 90.00 90.00 90.00°
Space group F-43m (No. 216)
One atom of each set of equivalent atoms:
Sr 0.0000 0.0000 0.0000 [4 per cell]
Ca 0.2500 0.2500 0.7500 [4 per cell]
Ac 0.0000 0.0000 0.5000 [4 per cell]
Ga 0.2500 0.2500 0.2500 [4 per cell]

---

No. 9
Compound: Ca3Ac3Tl2Ga
Source: Alexandria
Functional: PBE
Structure: relaxed

Values from the calculation:
- ΔH_f (0 K) (eV/atom) = -0.2927
- V (A^3/atom) = 35.7

Cell: 9.1434 9.1434 4.4355 Å, 90.00 90.00 120.00°
Space group P-62m (No. 189)
One atom of each set of equivalent atoms:
Ca 0.0000 0.4084 0.0000 [3 per cell]
Ac 0.0000 0.7497 0.5000 [3 per cell]
Tl 0.3333 0.6667 0.5000 [2 per cell]
Ga 0.0000 0.0000 0.0000 [1 per cell]

---

No. 10
Compound: Ca2AcZn2Ga2
Source: Alexandria
Functional: PBE
Structure: relaxed

Values from the calculation:
- ΔH_f (0 K) (eV/atom) = -0.3902
- V (A^3/atom) = 26.2

Cell: 4.5633 4.5633 30.5585 Å, 90.00 90.00 120.00°
Space group R-3m (No. 166, hexagonal axes)
One atom of each set of equivalent atoms:
Ca 0.0000 0.0000 0.1257 [6 per cell]
Ac 0.0000 0.0000 0.0000 [3 per cell]
Zn 0.0000 0.0000 0.4040 [6 per cell]
Ga 0.0000 0.0000 0.2601 [6 per cell]

---

No. 11
Compound: CaAc2Zn4Ga3
Source: Alexandria
Functional: PBE
Structure: relaxed

Values from the calculation:
- ΔH_f (0 K) (eV/atom) = -0.3723
- V (A^3/atom) = 23.4

Cell: 4.5220 4.5220 11.4510 Å, 90.00 90.00 90.00°
Space group P-4m2 (No. 115)
One atom of each set of equivalent atoms:
Ca 0.0000 0.0000 0.0000 [1 per cell]
Ac 0.0000 0.5000 0.7191 [2 per cell]
Zn 0.0000 0.0000 0.5000 [1 per cell]
Zn 0.0000 0.5000 0.1589 [2 per cell]
Zn 0.5000 0.5000 0.5000 [1 per cell]
Ga 0.0000 0.5000 0.3802 [2 per cell]
Ga 0.5000 0.5000 0.0000 [1 per cell]

---

No. 12
Compound: Ca2AcGd
Source: Alexandria
Functional: PBE
Structure: relaxed

Values from the calculation:
- ΔH_f (0 K) (eV/atom) = 0.1133
- V (A^3/atom) = 39.7

Cell: 8.5996 8.5996 8.5996 Å, 90.00 90.00 90.00°
Space group Fm-3m (No. 225)
One atom of each set of equivalent atoms:
Ca 0.2500 0.2500 0.2500 [8 per cell]
Ac 0.0000 0.0000 0.0000 [4 per cell]
Gd 0.0000 0.0000 0.5000 [4 per cell]

---

> Look up the V of the ninth one.

35.7 A^3/atom